No. 1
YZr2ScTe: relaxed, PBE.

Computed properties:
For the formation energy without anion corrections, the calculation gives 0.9363 eV/atom. As for the crystal system: tetragonal. As for the density of states at the Fermi level: 7.41 states/eV per cell.

Cell: 5.183 5.592 5.183 Å, 90.00 90.00 90.00°
Fractional positions:
Y: 0.000 0.000 0.000
Sc: 0.500 0.500 0.500
Te: 0.000 0.500 0.000
Zr: 0.000 0.000 0.500
Zr: 0.500 0.000 0.000


No. 2
ErSc2BiC: relaxed, PBE.

Computed properties:
As for the crystal system: tetragonal. As for the density of states at the Fermi level: 3.43 states/eV per cell. The value obtained for the formation energy is -0.606 eV/atom.

Cell: 4.856 4.599 4.599 Å, 90.00 90.00 90.00°
Fractional positions:
Er: 0.500 0.000 0.000
Sc: 0.000 0.000 0.500
Sc: 0.000 0.500 0.000
Bi: 0.500 0.500 0.500
C: 0.000 0.000 0.000


No. 3
Na3Sm3RuO8: relaxed, PBE.

Computed properties:
For the formation energy without anion corrections, the calculation gives -2.2967 eV/atom. As for the crystal system: trigonal. As for the density of states at the Fermi level: 6.39 states/eV per cell.

Cell: 6.856 6.856 6.835 Å, 120.10 90.00 120.00°
Fractional positions:
Na: 0.000 0.000 0.000
Na: 0.000 0.500 0.000
Na: 0.500 0.500 0.000
Sm: 0.500 0.000 0.500
Sm: 0.500 0.500 0.500
Sm: 0.000 0.500 0.500
Ru: 0.000 0.000 0.500
O: 0.261 0.523 0.284
O: 0.739 0.477 0.716
O: 0.784 0.568 0.300
O: 0.216 0.432 0.700
O: 0.784 0.015 0.300
O: 0.216 0.985 0.700
O: 0.231 0.015 0.300
O: 0.769 0.985 0.700


No. 4
Tb3Pr9Nd2: relaxed, PBE.

Computed properties:
As for the crystal system: hexagonal. As for the density of states at the Fermi level: 36.46 states/eV per cell. The value obtained for the formation energy is 0.233 eV/atom.

Cell: 9.241 9.241 13.956 Å, 90.00 90.00 120.00°
Fractional positions:
Tb: 0.752 0.829 0.250
Tb: 0.171 0.922 0.250
Tb: 0.078 0.248 0.250
Tb: 0.922 0.752 0.750
Tb: 0.829 0.078 0.750
Tb: 0.248 0.171 0.750
Pr: 0.519 0.599 0.750
Pr: 0.725 0.595 0.460
Pr: 0.725 0.595 0.040
Pr: 0.401 0.919 0.750
Pr: 0.871 0.275 0.040
Pr: 0.871 0.275 0.460
Pr: 0.405 0.129 0.040
Pr: 0.405 0.129 0.460
Pr: 0.919 0.519 0.250
Pr: 0.081 0.481 0.750
Pr: 0.595 0.871 0.960
Pr: 0.595 0.871 0.540
Pr: 0.129 0.725 0.540
Pr: 0.129 0.725 0.960
Pr: 0.599 0.081 0.250
Pr: 0.275 0.405 0.540
Pr: 0.275 0.405 0.960
Pr: 0.481 0.401 0.250
Nd: 0.667 0.333 0.641
Nd: 0.667 0.333 0.859
Nd: 0.333 0.667 0.141
Nd: 0.333 0.667 0.359


No. 5
TlOsRu2O: relaxed, PBE.

Computed properties:
For the formation energy without anion corrections, the calculation gives 1.7798 eV/atom. As for the crystal system: tetragonal. As for the density of states at the Fermi level: 7.08 states/eV per cell.

Cell: 4.673 5.338 4.673 Å, 90.00 90.00 90.00°
Fractional positions:
Ru: 0.000 0.000 0.500
Ru: 0.500 0.000 0.000
Tl: 0.000 0.500 0.000
Os: 0.000 0.000 0.000
O: 0.500 0.500 0.500


No. 6
Sm2PuPa3As6: relaxed, PBE.

Computed properties:
As for the crystal system: monoclinic. As for the density of states at the Fermi level: 15.15 states/eV per cell. The value obtained for the formation energy is -1.217 eV/atom.

Cell: 4.140 8.269 9.250 Å, 102.80 102.93 90.00°
Fractional positions:
Sm: 0.834 0.666 0.667
Sm: 0.166 0.334 0.333
Pu: 0.500 0.000 0.000
Pa: 0.500 0.500 0.000
Pa: 0.833 0.165 0.666
Pa: 0.167 0.835 0.334
As: 0.332 0.921 0.664
As: 0.665 0.590 0.329
As: 0.668 0.079 0.336
As: 0.998 0.252 0.996
As: 0.002 0.748 0.004
As: 0.335 0.410 0.671


No. 7
Ca2CoPt: relaxed, PBE.

Computed properties:
As for the crystal system: monoclinic. As for the density of states at the Fermi level: 3.50 states/eV per cell. The value obtained for the formation energy is -0.355 eV/atom.

Cell: 4.341 4.367 5.479 Å, 66.42 90.00 90.00°
Fractional positions:
Ca: 0.000 0.981 0.912
Ca: 0.500 0.273 0.330
Co: 0.000 0.669 0.538
Pt: 0.500 0.577 0.721


No. 8
Nb3V2Rh: relaxed, PBE.

Computed properties:
As for the crystal system: orthorhombic. As for the density of states at the Fermi level: 7.23 states/eV per cell. The value obtained for the formation energy is -0.177 eV/atom.

Cell: 4.484 7.082 6.361 Å, 90.00 90.00 71.54°
Fractional positions:
Nb: 0.835 0.330 0.744
Nb: 0.500 0.000 0.253
Nb: 0.165 0.670 0.256
Nb: 0.835 0.330 0.256
Nb: 0.165 0.670 0.744
Nb: 0.500 0.000 0.747
V: 0.000 0.000 0.000
V: 0.000 0.000 0.500
V: 0.331 0.338 0.500
V: 0.669 0.662 0.500
Rh: 0.334 0.332 0.000
Rh: 0.666 0.668 0.000